Below is a relaxed BaRu2Rh crystal, with properties calculated at the GGA-PBE level.

Cell lengths 4.7726, 4.7726, 4.7726 Å; angles 60.00, 60.00, 60.00 degrees
Positions (direct):
Ru  0.2500  0.2500  0.2500
Rh  0.0000  0.0000  0.0000
Ba  0.5000  0.5000  0.5000
Ru  0.7500  0.7500  0.7500

=====

Below is a relaxed BaRuRh2 crystal, with properties calculated at the GGA-PBE level.

Cell lengths 4.3217, 2.9671, 6.5270 Å; angles 78.64, 90.00, 90.00 degrees
Positions (direct):
Rh  0.0000  0.1514  0.0566
Rh  0.5000  0.0653  0.2843
Ru  0.0000  0.5060  0.3908
Ba  0.5000  0.7772  0.7683

=====

Below is a relaxed BaRuRh2 crystal, with properties calculated at the GGA-PBE level.

Cell lengths 3.6341, 2.9401, 7.9601 Å; angles 68.31, 90.00, 90.00 degrees
Positions (direct):
Rh  0.0000  0.5728  0.4277
Rh  0.0000  0.9272  0.0723
Ba  0.5000  0.7500  0.7500
Ru  0.5000  0.2500  0.2500

=====

Number 1: E_form 4.002 eV/f.u., DFT total energy -23.823 eV/cell, D(E_F) 2.45 states/eV/cell. Number 2: E_form 1.850 eV/f.u., DFT total energy -24.052 eV/cell, D(E_F) 5.16 states/eV/cell. Number 3: E_form 1.441 eV/f.u., DFT total energy -24.461 eV/cell, D(E_F) 5.30 states/eV/cell.